# 1
Mn3Hg4Te8: relaxed, PBE.

Summary:
The calculation puts the uncorrected formation energy at -68 meV/atom. The space group is C2/m. The value obtained for the total energy is -3.658 eV per atom. The spin magnetization comes out at 10.42 μB/cell. Its calculated volume is 451.6 Å³ per cell.

Cell lengths 8.253, 8.253, 8.892 Å; angles 116.63, 116.63, 60.77 degrees
Sites, in units of the cell vectors:
Mn (0.000, 0.000, 0.000)
Mn (0.000, 0.500, 0.000)
Mn (0.500, 0.000, 0.000)
Hg (0.000, 0.000, 0.500)
Hg (0.408, 0.408, 0.549)
Hg (0.500, 0.500, 0.000)
Hg (0.592, 0.592, 0.451)
Te (0.194, 0.753, 0.212)
Te (0.228, 0.228, 0.187)
Te (0.247, 0.806, 0.788)
Te (0.266, 0.266, 0.809)
Te (0.734, 0.734, 0.191)
Te (0.753, 0.194, 0.212)
Te (0.772, 0.772, 0.813)
Te (0.806, 0.247, 0.788)

# 2
MnHgTe3: relaxed, PBE.

Summary:
The calculation puts the uncorrected formation energy at 874 meV/atom. The value obtained for the energy above the most stable polymorph in this dataset is 447 meV per atom. The space group is Pm-3m. The value obtained for the total energy is -2.905 eV per atom. The spin magnetization comes out at 4.98 μB/cell. Its calculated volume is 173.7 Å³ per cell.

Cell lengths 5.580, 5.580, 5.580 Å; angles 90.00, 90.00, 90.00 degrees
Sites, in units of the cell vectors:
Mn (0.000, 0.000, 0.000)
Hg (0.500, 0.500, 0.500)
Te (0.000, 0.500, 0.500)
Te (0.500, 0.000, 0.500)
Te (0.500, 0.500, 0.000)

# 3
Mn2HgTe: relaxed, PBE.

Summary:
The calculation puts the uncorrected formation energy at 649 meV/atom. The value obtained for the energy above the most stable polymorph in this dataset is 403 meV per atom. The space group is F-43m. The value obtained for the total energy is -4.796 eV per atom. The spin magnetization comes out at 8.01 μB/cell. Its calculated volume is 84.6 Å³ per cell.

Cell lengths 4.927, 4.927, 4.927 Å; angles 60.00, 60.00, 60.00 degrees
Sites, in units of the cell vectors:
Mn (0.000, 0.000, 0.000)
Mn (0.250, 0.250, 0.250)
Hg (0.750, 0.750, 0.750)
Te (0.500, 0.500, 0.500)

# 4
Mn2HgTe: relaxed, PBE.

Summary:
The calculation puts the uncorrected formation energy at 269 meV/atom. The value obtained for the energy above the most stable polymorph in this dataset is 22 meV per atom. The space group is Amm2. The value obtained for the total energy is -5.176 eV per atom. The spin magnetization comes out at 7.80 μB/cell. Its calculated volume is 82.4 Å³ per cell.

Cell lengths 4.099, 5.547, 5.547 Å; angles 40.81, 90.00, 90.00 degrees
Sites, in units of the cell vectors:
Mn (0.000, 0.000, 0.000)
Mn (0.500, 0.188, 0.188)
Hg (0.500, 0.460, 0.460)
Te (0.000, 0.728, 0.728)

# 5
UMn2Hg3Te6: relaxed, PBE.

Summary:
The calculation puts the uncorrected formation energy at -240 meV/atom. The space group is C2/m. The value obtained for the total energy is -4.355 eV per atom. The spin magnetization comes out at 8.07 μB/cell. Its calculated volume is 389.1 Å³ per cell.

Cell lengths 6.741, 6.741, 10.182 Å; angles 96.65, 96.65, 120.16 degrees
Sites, in units of the cell vectors:
U (0.000, 0.000, 0.000)
Mn (0.333, 0.667, 0.000)
Mn (0.667, 0.333, 0.000)
Hg (0.149, 0.851, 0.500)
Hg (0.500, 0.500, 0.500)
Hg (0.851, 0.149, 0.500)
Te (0.060, 0.419, 0.173)
Te (0.299, 0.299, 0.828)
Te (0.419, 0.060, 0.173)
Te (0.581, 0.940, 0.827)
Te (0.701, 0.701, 0.172)
Te (0.940, 0.581, 0.827)

# 6
Th3MnHg: relaxed, PBE.

Summary:
The calculation puts the formation energy at -43 meV/atom. The value obtained for the energy above the most stable polymorph in this dataset is 0 meV per atom. The space group is P2_1/m. The value obtained for the total energy is -6.389 eV per atom. The spin magnetization comes out at 0.00 μB/cell. Its calculated volume is 272.9 Å³ per cell.

Cell lengths 8.719, 3.742, 8.838 Å; angles 90.00, 108.86, 90.00 degrees
Sites, in units of the cell vectors:
Th (0.034, 0.250, 0.211)
Th (0.314, 0.750, 0.589)
Th (0.322, 0.250, 0.930)
Th (0.678, 0.750, 0.070)
Th (0.686, 0.250, 0.411)
Th (0.966, 0.750, 0.789)
Mn (0.062, 0.250, 0.547)
Mn (0.938, 0.750, 0.453)
Hg (0.356, 0.750, 0.239)
Hg (0.644, 0.250, 0.761)